Record 1
# GGA-PBE CsKSb2I, optimized geometry
data_CsKSb2I
_symmetry_space_group_name_H-M 'P 1'
_symmetry_Int_Tables_number 1
_cell_length_a 6.636
_cell_length_b 6.636
_cell_length_c 7.157
_cell_angle_alpha 90.00
_cell_angle_beta 90.00
_cell_angle_gamma 90.00
loop_
_symmetry_equiv_pos_as_xyz
'x,y,z'
loop_
_atom_site_label
_atom_site_type_symbol
_atom_site_fract_x
_atom_site_fract_y
_atom_site_fract_z
K1 K 0.500 0.500 0.500
I1 I 0.000 0.000 0.500
Sb1 Sb 0.000 0.500 0.000
Sb2 Sb 0.500 0.000 0.000
Cs1 Cs 0.000 0.000 0.000
# E_form (uncorrected)   0.3576 eV/atom
# ΔE to the lowest computed polymorph   0.221 eV/atom
# Space group   No. 123

***

Record 2
# GGA-PBE Pm4SmN5, optimized geometry
data_Pm4SmN5
_symmetry_space_group_name_H-M 'P 1'
_symmetry_Int_Tables_number 1
_cell_length_a 5.120
_cell_length_b 6.247
_cell_length_c 6.247
_cell_angle_alpha 80.33
_cell_angle_beta 65.81
_cell_angle_gamma 65.81
loop_
_symmetry_equiv_pos_as_xyz
'x,y,z'
loop_
_atom_site_label
_atom_site_type_symbol
_atom_site_fract_x
_atom_site_fract_y
_atom_site_fract_z
Pm1 Pm 0.808 0.800 0.600
Pm2 Pm 0.208 0.200 0.400
Pm3 Pm 0.408 0.400 0.800
Pm4 Pm 0.608 0.600 0.200
N1 N 0.094 0.601 0.199
N2 N 0.895 0.399 0.801
N3 N 0.695 0.199 0.399
N4 N 0.493 0.000 0.000
N5 N 0.293 0.801 0.601
Sm1 Sm 0.008 0.000 0.000
# E_form (uncorrected)   -1.4468 eV/atom
# Space group   No. 79

***

Record 3
# GGA-PBE PrCdIr, optimized geometry
data_PrCdIr
_symmetry_space_group_name_H-M 'P 1'
_symmetry_Int_Tables_number 1
_cell_length_a 4.342
_cell_length_b 5.675
_cell_length_c 7.552
_cell_angle_alpha 58.77
_cell_angle_beta 89.94
_cell_angle_gamma 67.38
loop_
_symmetry_equiv_pos_as_xyz
'x,y,z'
loop_
_atom_site_label
_atom_site_type_symbol
_atom_site_fract_x
_atom_site_fract_y
_atom_site_fract_z
Ir1 Ir 0.861 0.818 0.684
Ir2 Ir 0.585 0.374 0.357
Cd1 Cd 0.899 0.744 0.095
Cd2 Cd 0.546 0.447 0.945
Pr1 Pr 0.295 0.949 0.350
Pr2 Pr 0.150 0.242 0.690
# Uncorrected energy   -5.3107 eV/atom
# Space group   No. 2

***

Record 4
# GGA-PBE TcNi2Se, optimized geometry
data_TcNi2Se
_symmetry_space_group_name_H-M 'P 1'
_symmetry_Int_Tables_number 1
_cell_length_a 2.702
_cell_length_b 2.702
_cell_length_c 7.434
_cell_angle_alpha 90.00
_cell_angle_beta 90.00
_cell_angle_gamma 90.00
loop_
_symmetry_equiv_pos_as_xyz
'x,y,z'
loop_
_atom_site_label
_atom_site_type_symbol
_atom_site_fract_x
_atom_site_fract_y
_atom_site_fract_z
Tc1 Tc 0.500 0.500 0.750
Ni1 Ni 0.000 0.000 0.990
Ni2 Ni 0.000 0.000 0.510
Se1 Se 0.500 0.500 0.250
# E_form (uncorrected)   0.1860 eV/atom
# Space group   No. 123

***

Number 1: ρ 2.86 g/cm3, spin magnetization 2.460 μB per formula unit. Number 2: ρ 7.99 g/cm3, spin magnetization 0.000 μB per formula unit. Number 3: ρ 10.41 g/cm3, spin magnetization 0.000 μB per formula unit. Number 4: ρ 9.00 g/cm3, spin magnetization 0.000 μB per formula unit.